No. 1
Density functional theory data (PBE) for a relaxed structure of FeGeTeN2.

Unit cell a=3.7839 b=3.7839 c=5.3305 alpha=90.00 beta=90.00 gamma=90.00
Closest atoms and distances in Å follow each position.
Positions (direct):
Te 0.0000 0.0000 0.5000  2 Fe 2.67, 4 Ge 2.68
N 0.0000 0.5000 0.0000  2 Fe 1.89
N 0.5000 0.0000 0.0000  2 Fe 1.89
Fe 0.0000 0.0000 0.0000  4 N 1.89
Ge 0.5000 0.5000 0.5000  4 Te 2.68

Summary:
DFT total energy (eV/atom): -5.57
SG: No. 123
Total magnetic moment (μB per formula unit): 0.156
Crystal system: tetragonal
Density of states at the Fermi level (states/eV per cell): 3.8

No. 2
Density functional theory data (PBE) for a relaxed structure of Fe2GeTeN.

Unit cell a=4.8733 b=4.0567 c=4.8733 alpha=90.00 beta=90.00 gamma=90.00
Closest atoms and distances in Å follow each position.
Positions (direct):
Fe 0.0000 0.0000 0.5000  2 Te 2.44
Fe 0.5000 0.0000 0.0000  2 Te 2.44
N 0.0000 0.5000 0.0000  2 Te 2.03
Te 0.0000 0.0000 0.0000  2 N 2.03
Ge 0.5000 0.5000 0.5000  8 Fe 3.17, 4 N 3.45

Summary:
DFT total energy (eV/atom): -5.09
SG: No. 123
Total magnetic moment (μB per formula unit): 5.356
Crystal system: tetragonal
Density of states at the Fermi level (states/eV per cell): 7.1

No. 3
Density functional theory data (PBE) for a relaxed structure of ThFe2GeN.

Unit cell a=3.8487 b=5.7803 c=6.8866 alpha=90.00 beta=90.00 gamma=109.45
Closest atoms and distances in Å follow each position.
Positions (direct):
Th 0.4431 0.8861 0.7500  4 N 2.66
Th 0.5569 0.1139 0.2500  4 N 2.66
Fe 0.1589 0.3178 0.9454  1 N 1.77
Fe 0.1589 0.3178 0.5546  1 N 1.77
Fe 0.8411 0.6822 0.4454  1 N 1.77
Fe 0.8411 0.6822 0.0546  1 N 1.77
Ge 0.7241 0.4481 0.7500  6 Fe 2.45
Ge 0.2759 0.5519 0.2500  6 Fe 2.45
N 0.0000 0.0000 0.0000  2 Fe 1.77
N 0.0000 0.0000 0.5000  2 Fe 1.77

Summary:
DFT total energy (eV/atom): -8.12
SG: No. 63
Total magnetic moment (μB per formula unit): 0.000
Crystal system: orthorhombic
Density of states at the Fermi level (states/eV per cell): 6.4

No. 4
Density functional theory data (PBE) for a relaxed structure of Th2Fe2Ge2N.

Unit cell a=3.9793 b=5.9624 c=7.1017 alpha=52.71 beta=89.99 gamma=70.49
Closest atoms and distances in Å follow each position.
Positions (direct):
Fe 0.8138 0.3724 0.6943  1 N 1.80
Fe 0.1862 0.6276 0.3057  1 N 1.80
Ge 0.1719 0.6560 0.6311  3 Fe 2.40-2.42
Ge 0.8281 0.3440 0.3689  3 Fe 2.40-2.42
Th 0.5528 0.8945 0.8187  2 N 2.64
Th 0.4472 0.1055 0.1813  2 N 2.64
N 0.0000 0.0000 0.0000  2 Fe 1.80

Summary:
DFT total energy (eV/atom): -7.78
SG: No. 12
Total magnetic moment (μB per formula unit): 0.000
Crystal system: monoclinic
Density of states at the Fermi level (states/eV per cell): 5.2

No. 5
Density functional theory data (PBE) for a relaxed structure of TmFe2GeN.

Unit cell a=3.6454 b=5.6211 c=6.8485 alpha=90.00 beta=90.00 gamma=108.92
Closest atoms and distances in Å follow each position.
Positions (direct):
Tm 0.4540 0.9080 0.7500  4 N 2.55
Tm 0.5460 0.0920 0.2500  4 N 2.55
Fe 0.1597 0.3193 0.5555  1 N 1.74
Fe 0.8403 0.6807 0.4445  1 N 1.74
Fe 0.1597 0.3193 0.9445  1 N 1.74
Fe 0.8403 0.6807 0.0555  1 N 1.74
Ge 0.2682 0.5364 0.2500  6 Fe 2.38-2.39
Ge 0.7318 0.4636 0.7500  6 Fe 2.38-2.39
N 0.0000 0.0000 0.0000  2 Fe 1.74
N 0.0000 0.0000 0.5000  2 Fe 1.74

Summary:
DFT total energy (eV/atom): -7.54
SG: No. 63
Total magnetic moment (μB per formula unit): 0.002
Crystal system: orthorhombic
Density of states at the Fermi level (states/eV per cell): 8.0

No. 6
Density functional theory data (PBE) for a relaxed structure of V2FeGeN.

Unit cell a=3.9184 b=3.9184 c=3.8188 alpha=90.00 beta=90.00 gamma=90.00
Closest atoms and distances in Å follow each position.
Positions (direct):
Ge 0.5000 0.5000 0.5000  8 V 2.74, 4 Fe 2.77
V 0.5000 0.0000 0.0000  2 N 1.96
V 0.0000 0.5000 0.0000  2 N 1.96
N 0.0000 0.0000 0.0000  2 Fe 1.91, 4 V 1.96
Fe 0.0000 0.0000 0.5000  2 N 1.91

Summary:
DFT total energy (eV/atom): -8.40
SG: No. 123
Total magnetic moment (μB per formula unit): 1.264
Crystal system: tetragonal
Density of states at the Fermi level (states/eV per cell): 3.7